#1
# GaPIr2 | the Alexandria database | PBE | optimized geometry
# Spin magnetization   0.8 μB per formula unit
# Density   14.22 g/cm3
data_GaPIr2
_chemical_formula_sum 'Ga4 P4 Ir8'
_space_group_name_H-M_alt 'F m -3 m'
_space_group_IT_number 225
_space_group_name_Hall '-F 4 2 3'
_cell_length_a 6.096
_cell_length_b 6.096
_cell_length_c 6.096
_cell_angle_alpha 90.00
_cell_angle_beta 90.00
_cell_angle_gamma 90.00
loop_
_atom_site_label
_atom_site_type_symbol
_atom_site_fract_x
_atom_site_fract_y
_atom_site_fract_z
Ga1 Ga 0.000 0.000 0.000
P1 P 0.000 0.000 0.500
Ir1 Ir 0.250 0.250 0.250

#2
# GaPIr2 | the Alexandria database | PBE | optimized geometry
# Spin magnetization   0.0 μB per formula unit
# Density   10.21 g/cm3
data_GaPIr2
_chemical_formula_sum 'Ga4 P4 Ir8'
_space_group_name_H-M_alt 'I -4 2 d'
_space_group_IT_number 122
_space_group_name_Hall 'I -4 2bw'
_cell_length_a 5.540
_cell_length_b 5.540
_cell_length_c 10.284
_cell_angle_alpha 90.00
_cell_angle_beta 90.00
_cell_angle_gamma 90.00
loop_
_atom_site_label
_atom_site_type_symbol
_atom_site_fract_x
_atom_site_fract_y
_atom_site_fract_z
Ga1 Ga 0.000 0.000 0.000
P1 P 0.000 0.000 0.500
Ir1 Ir 0.216 0.250 0.625

Energy above the most stable structure, in kJ/mol of atoms: #1 4.8; #2 0.0

#1
# Pa2Ga3Ir | the Alexandria database | PBE | optimized geometry
# Spin magnetization   0.0 μB per formula unit
# Density   12.17 g/cm3
data_Pa2Ga3Ir
_chemical_formula_sum 'Pa16 Ga24 Ir8'
_space_group_name_H-M_alt 'F m m m'
_space_group_IT_number 69
_space_group_name_Hall '-F 2 2'
_cell_length_a 6.747
_cell_length_b 8.970
_cell_length_c 15.569
_cell_angle_alpha 90.00
_cell_angle_beta 90.00
_cell_angle_gamma 90.00
loop_
_atom_site_label
_atom_site_type_symbol
_atom_site_fract_x
_atom_site_fract_y
_atom_site_fract_z
Pa1 Pa 0.232 0.000 0.000
Pa2 Pa 0.250 0.250 0.250
Ga1 Ga 0.000 0.000 0.334
Ga2 Ga 0.000 0.247 0.417
Ir1 Ir 0.000 0.000 0.167

#2
# Pa2Ga3Ir | the Alexandria database | PBE | optimized geometry
# Spin magnetization   0.0 μB per formula unit
# Density   11.99 g/cm3
data_Pa2Ga3Ir
_chemical_formula_sum 'Pa2 Ga3 Ir1'
_space_group_name_H-M_alt 'P m m 2'
_space_group_IT_number 25
_cell_length_a 3.496
_cell_length_b 4.469
_cell_length_c 7.653
_cell_angle_alpha 90.00
_cell_angle_beta 90.00
_cell_angle_gamma 90.00
loop_
_space_group_symop_operation_xyz
'x,y,z'
'-x,-y,z'
'-x,y,z'
'x,-y,z'
loop_
_atom_site_label
_atom_site_type_symbol
_atom_site_fract_x
_atom_site_fract_y
_atom_site_fract_z
Pa1 Pa 0.000 0.000 0.000
Pa2 Pa 0.000 0.500 0.466
Ga1 Ga 0.500 0.000 0.651
Ga2 Ga 0.500 0.500 0.143
Ga3 Ga 0.500 0.500 0.810
Ir1 Ir 0.500 0.000 0.312

Energy above the most stable structure, in kJ/mol of atoms: #1 3.7; #2 0.0

#1
# Ga2Ir2Pb | the Alexandria database | PBE | optimized geometry
# Spin magnetization   0.0 μB per formula unit
# Density   14.01 g/cm3
data_Ga2Ir2Pb
_chemical_formula_sum 'Ga4 Ir4 Pb2'
_space_group_name_H-M_alt 'P 4/m b m'
_space_group_IT_number 127
_space_group_name_Hall '-P 4 2ab'
_cell_length_a 7.706
_cell_length_b 7.706
_cell_length_c 2.919
_cell_angle_alpha 90.00
_cell_angle_beta 90.00
_cell_angle_gamma 90.00
loop_
_atom_site_label
_atom_site_type_symbol
_atom_site_fract_x
_atom_site_fract_y
_atom_site_fract_z
Ga1 Ga 0.133 0.367 0.000
Ir1 Ir 0.156 0.656 0.500
Pb1 Pb 0.000 0.000 0.000

#2
# Ga2Ir2Pb | the Alexandria database | PBE | optimized geometry
# Spin magnetization   0.0 μB per formula unit
# Density   13.41 g/cm3
data_Ga2Ir2Pb
_chemical_formula_sum 'Ga4 Ir4 Pb2'
_space_group_name_H-M_alt 'I 4/m m m'
_space_group_IT_number 139
_space_group_name_Hall '-I 4 2'
_cell_length_a 3.841
_cell_length_b 3.841
_cell_length_c 12.271
_cell_angle_alpha 90.00
_cell_angle_beta 90.00
_cell_angle_gamma 90.00
loop_
_atom_site_label
_atom_site_type_symbol
_atom_site_fract_x
_atom_site_fract_y
_atom_site_fract_z
Ga1 Ga 0.000 0.500 0.250
Ir1 Ir 0.000 0.000 0.112
Pb1 Pb 0.000 0.000 0.500

#3
# Ga2Ir2Pb | the Alexandria database | PBE | optimized geometry
# Spin magnetization   0.0 μB per formula unit
# Density   14.11 g/cm3
data_Ga2Ir2Pb
_chemical_formula_sum 'Ga4 Ir4 Pb2'
_space_group_name_H-M_alt 'P 4/m b m'
_space_group_IT_number 127
_space_group_name_Hall '-P 4 2ab'
_cell_length_a 7.650
_cell_length_b 7.650
_cell_length_c 2.941
_cell_angle_alpha 90.00
_cell_angle_beta 90.00
_cell_angle_gamma 90.00
loop_
_atom_site_label
_atom_site_type_symbol
_atom_site_fract_x
_atom_site_fract_y
_atom_site_fract_z
Ga1 Ga 0.145 0.355 0.000
Ir1 Ir 0.147 0.647 0.500
Pb1 Pb 0.000 0.000 0.500

Energy above the most stable structure, in kJ/mol of atoms: #1 7.9; #2 0.0; #3 1.5

#1
# Ga2IrPb2 | the Alexandria database | PBE | optimized geometry
# Spin magnetization   0.0 μB per formula unit
# Density   10.00 g/cm3
data_Ga2IrPb2
_chemical_formula_sum 'Ga4 Ir2 Pb4'
_space_group_name_H-M_alt 'P 4/m b m'
_space_group_IT_number 127
_space_group_name_Hall '-P 4 2ab'
_cell_length_a 7.163
_cell_length_b 7.163
_cell_length_c 4.827
_cell_angle_alpha 90.00
_cell_angle_beta 90.00
_cell_angle_gamma 90.00
loop_
_atom_site_label
_atom_site_type_symbol
_atom_site_fract_x
_atom_site_fract_y
_atom_site_fract_z
Ga1 Ga 0.156 0.344 0.000
Ir1 Ir 0.000 0.000 0.500
Pb1 Pb 0.159 0.659 0.500

#2
# Ga2IrPb2 | the Alexandria database | PBE | optimized geometry
# Spin magnetization   0.0 μB per formula unit
# Density   10.59 g/cm3
data_Ga2IrPb2
_chemical_formula_sum 'Ga4 Ir2 Pb4'
_space_group_name_H-M_alt 'I 4/m m m'
_space_group_IT_number 139
_space_group_name_Hall '-I 4 2'
_cell_length_a 3.561
_cell_length_b 3.561
_cell_length_c 18.457
_cell_angle_alpha 90.00
_cell_angle_beta 90.00
_cell_angle_gamma 90.00
loop_
_atom_site_label
_atom_site_type_symbol
_atom_site_fract_x
_atom_site_fract_y
_atom_site_fract_z
Ga1 Ga 0.000 0.500 0.250
Ir1 Ir 0.000 0.000 0.000
Pb1 Pb 0.000 0.000 0.412

Energy above the most stable structure, in kJ/mol of atoms: #1 13.4; #2 0.0

#1
# Ga8IrPd2 | the Alexandria database | PBE | optimized geometry
# Spin magnetization   0.0 μB per formula unit
# Density   8.60 g/cm3
data_Ga8IrPd2
_chemical_formula_sum 'Ga16 Ir2 Pd4'
_space_group_name_H-M_alt 'C 1 2/m 1'
_space_group_IT_number 12
_cell_length_a 17.207
_cell_length_b 4.146
_cell_length_c 5.370
_cell_angle_alpha 90.00
_cell_angle_beta 103.95
_cell_angle_gamma 90.00
loop_
_space_group_symop_operation_xyz
'x,y,z'
'-x,-y,-z'
'-x,y,-z'
'x,-y,z'
'x+1/2,y+1/2,z'
'-x+1/2,-y+1/2,-z'
'-x+1/2,y+1/2,-z'
'x+1/2,-y+1/2,z'
loop_
_atom_site_label
_atom_site_type_symbol
_atom_site_fract_x
_atom_site_fract_y
_atom_site_fract_z
Ga1 Ga 0.022 0.000 0.289
Ga2 Ga 0.110 0.500 0.770
Ga3 Ga 0.140 0.500 0.308
Ga4 Ga 0.216 0.000 0.137
Ir1 Ir 0.000 0.500 0.000
Pd1 Pd 0.192 0.000 0.631

#2
# Ga8IrPd2 | the Alexandria database | PBE | optimized geometry
# Spin magnetization   0.0 μB per formula unit
# Density   8.57 g/cm3
data_Ga8IrPd2
_chemical_formula_sum 'Ga8 Ir1 Pd2'
_space_group_name_H-M_alt 'P -1'
_space_group_IT_number 2
_cell_length_a 4.361
_cell_length_b 6.545
_cell_length_c 6.969
_cell_angle_alpha 99.37
_cell_angle_beta 91.55
_cell_angle_gamma 107.46
loop_
_space_group_symop_operation_xyz
'x,y,z'
'-x,-y,-z'
loop_
_atom_site_label
_atom_site_type_symbol
_atom_site_fract_x
_atom_site_fract_y
_atom_site_fract_z
Ga1 Ga 0.038 0.097 0.338
Ga2 Ga 0.193 0.342 0.981
Ga3 Ga 0.303 0.576 0.390
Ga4 Ga 0.410 0.886 0.135
Ir1 Ir 0.500 0.000 0.500
Pd1 Pd 0.290 0.663 0.777

Energy above the most stable structure, in kJ/mol of atoms: #1 0.0; #2 2.0

#1
# GaIr3Pd | the Alexandria database | PBE | optimized geometry
# Spin magnetization   2.7 μB per formula unit
# Density   11.53 g/cm3
data_GaIr3Pd
_chemical_formula_sum 'Ga1 Ir3 Pd1'
_space_group_name_H-M_alt 'P m -3 m'
_space_group_IT_number 221
_space_group_name_Hall '-P 4 2 3'
_cell_length_a 4.768
_cell_length_b 4.768
_cell_length_c 4.768
_cell_angle_alpha 90.00
_cell_angle_beta 90.00
_cell_angle_gamma 90.00
loop_
_atom_site_label
_atom_site_type_symbol
_atom_site_fract_x
_atom_site_fract_y
_atom_site_fract_z
Ga1 Ga 0.000 0.000 0.000
Ir1 Ir 0.000 0.500 0.500
Pd1 Pd 0.500 0.500 0.500

#2
# GaIr3Pd | the Alexandria database | PBE | optimized geometry
# Spin magnetization   2.5 μB per formula unit
# Density   13.46 g/cm3
data_GaIr3Pd
_chemical_formula_sum 'Ga1 Ir3 Pd1'
_space_group_name_H-M_alt 'P m -3 m'
_space_group_IT_number 221
_space_group_name_Hall '-P 4 2 3'
_cell_length_a 4.528
_cell_length_b 4.528
_cell_length_c 4.528
_cell_angle_alpha 90.00
_cell_angle_beta 90.00
_cell_angle_gamma 90.00
loop_
_atom_site_label
_atom_site_type_symbol
_atom_site_fract_x
_atom_site_fract_y
_atom_site_fract_z
Ga1 Ga 0.000 0.000 0.000
Ir1 Ir 0.000 0.000 0.500
Pd1 Pd 0.500 0.500 0.500

Energy above the most stable structure, in kJ/mol of atoms: #1 55.9; #2 0.0

#1
# ZrGaIrPd | the Alexandria database | PBE | optimized geometry
# Spin magnetization   0.0 μB per formula unit
# Density   11.50 g/cm3
data_ZrGaIrPd
_chemical_formula_sum 'Zr4 Ga4 Ir4 Pd4'
_space_group_name_H-M_alt 'F -4 3 m'
_space_group_IT_number 216
_space_group_name_Hall 'F -4 2 3'
_cell_length_a 6.427
_cell_length_b 6.427
_cell_length_c 6.427
_cell_angle_alpha 90.00
_cell_angle_beta 90.00
_cell_angle_gamma 90.00
loop_
_atom_site_label
_atom_site_type_symbol
_atom_site_fract_x
_atom_site_fract_y
_atom_site_fract_z
Zr1 Zr 0.000 0.000 0.000
Ga1 Ga 0.000 0.000 0.500
Ir1 Ir 0.250 0.250 0.750
Pd1 Pd 0.250 0.250 0.250

#2
# ZrGaIrPd | the Alexandria database | PBE | optimized geometry
# Spin magnetization   0.0 μB per formula unit
# Density   11.64 g/cm3
data_ZrGaIrPd
_chemical_formula_sum 'Zr2 Ga2 Ir2 Pd2'
_space_group_name_H-M_alt 'I -4 m 2'
_space_group_IT_number 119
_space_group_name_Hall 'I -4 -2'
_cell_length_a 4.147
_cell_length_b 4.147
_cell_length_c 7.622
_cell_angle_alpha 90.00
_cell_angle_beta 90.00
_cell_angle_gamma 90.00
loop_
_atom_site_label
_atom_site_type_symbol
_atom_site_fract_x
_atom_site_fract_y
_atom_site_fract_z
Zr1 Zr 0.000 0.000 0.000
Ga1 Ga 0.000 0.000 0.500
Ir1 Ir 0.000 0.500 0.750
Pd1 Pd 0.000 0.500 0.250

Energy above the most stable structure, in kJ/mol of atoms: #1 2.8; #2 0.0

#1
# Pm2Ga3Ir2 | the Alexandria database | PBE | optimized geometry
# Spin magnetization   0.0 μB per formula unit
# Density   10.47 g/cm3
data_Pm2Ga3Ir2
_chemical_formula_sum 'Pm8 Ga12 Ir8'
_space_group_name_H-M_alt 'C m c m'
_space_group_IT_number 63
_space_group_name_Hall '-C 2c 2'
_cell_length_a 4.219
_cell_length_b 18.534
_cell_length_c 7.171
_cell_angle_alpha 90.00
_cell_angle_beta 90.00
_cell_angle_gamma 90.00
loop_
_atom_site_label
_atom_site_type_symbol
_atom_site_fract_x
_atom_site_fract_y
_atom_site_fract_z
Pm1 Pm 0.000 0.063 0.250
Pm2 Pm 0.000 0.160 0.750
Ga1 Ga 0.000 0.225 0.250
Ga2 Ga 0.000 0.439 0.073
Ir1 Ir 0.000 0.310 0.551

#2
# Pm2Ga3Ir2 | the Alexandria database | PBE | optimized geometry
# Spin magnetization   0.0 μB per formula unit
# Density   10.46 g/cm3
data_Pm2Ga3Ir2
_chemical_formula_sum 'Pm4 Ga6 Ir4'
_space_group_name_H-M_alt 'C 1 2/m 1'
_space_group_IT_number 12
_cell_length_a 10.412
_cell_length_b 4.173
_cell_length_c 7.133
_cell_angle_alpha 90.00
_cell_angle_beta 115.16
_cell_angle_gamma 90.00
loop_
_space_group_symop_operation_xyz
'x,y,z'
'-x,-y,-z'
'-x,y,-z'
'x,-y,z'
'x+1/2,y+1/2,z'
'-x+1/2,-y+1/2,-z'
'-x+1/2,y+1/2,-z'
'x+1/2,-y+1/2,z'
loop_
_atom_site_label
_atom_site_type_symbol
_atom_site_fract_x
_atom_site_fract_y
_atom_site_fract_z
Pm1 Pm 0.145 0.000 0.269
Ga1 Ga 0.000 0.500 0.500
Ga2 Ga 0.138 0.500 0.942
Ir1 Ir 0.135 0.000 0.702

Energy above the most stable structure, in kJ/mol of atoms: #1 9.5; #2 0.0